The following is a PBE calculation of crystalline TeSeBr3 at its relaxed geometry, from Alexandria.

Properties
- Excess energy over the best structure of this formula in the dataset: 581.9 meV/atom

Unit cell a=5.4529 b=5.4529 c=5.4529 alpha=90.00 beta=90.00 gamma=90.00
Space group Pm-3m (No. 221)
Symmetry-distinct sites (fractional):
Te1 0.0000 0.0000 0.0000
Se1 0.5000 0.5000 0.5000
Br1 0.0000 0.5000 0.5000